Here is an optimized crystal structure of Li2ZnTeBr from the Alexandria database. Energies are from PBE-GGA.

Computed properties:
Formation energy without anion corrections ... -1.5 eV per formula unit
E ... -11.46 eV per formula unit
Spin magnetization ... 0.0 μB/cell

Cell: 5.2900 5.2900 6.1640 Å, 90.00 90.00 90.00°
Last column: nearest neighbours and their distance in Å.
Atoms (fractional coordinates):
Li  0.0000  0.5000  0.0000  2 Te 2.64
Li  0.5000  0.0000  0.0000  2 Te 2.64
Zn  0.0000  0.0000  0.5000  4 Br 3.74, 8 Li 4.06
Te  0.5000  0.5000  0.0000  4 Li 2.64
Br  0.5000  0.5000  0.5000  2 Te 3.08

Here is an optimized crystal structure of Li2ThBr8 from the Alexandria database. Energies are from PBE-GGA.

Computed properties:
Formation energy without anion corrections ... -14.4 eV per formula unit
E ... -39.05 eV per formula unit
Spin magnetization ... 0.0 μB/cell

Cell: 8.5246 8.5246 7.0767 Å, 106.90 106.90 91.44°
Last column: nearest neighbours and their distance in Å.
Atoms (fractional coordinates):
Li  0.1943  0.1943  0.2020  4 Br 2.53-2.66
Li  0.8057  0.8057  0.7980  4 Br 2.53-2.66
Th  0.0000  0.0000  0.5000  6 Br 2.84-2.89
Br  0.0573  0.7421  0.6822  1 Li 2.53
Br  0.2303  0.2303  0.8688  1 Li 2.57
Br  0.2579  0.9427  0.3178  1 Li 2.53
Br  0.4376  0.4376  0.3180  1 Br 2.38, 1 Li 2.66
Br  0.5624  0.5624  0.6820  1 Br 2.38, 1 Li 2.66
Br  0.7421  0.0573  0.6822  1 Li 2.53
Br  0.7697  0.7697  0.1312  1 Li 2.57
Br  0.9427  0.2579  0.3178  1 Li 2.53

Here is an optimized crystal structure of LiThBr4 from the Alexandria database. Energies are from PBE-GGA.

Computed properties:
Formation energy without anion corrections ... -9.3 eV per formula unit
E ... -25.32 eV per formula unit
Spin magnetization ... 0.2 μB/cell

Cell: 7.3521 3.8007 7.7999 Å, 90.00 108.45 90.00°
Last column: nearest neighbours and their distance in Å.
Atoms (fractional coordinates):
Li  0.0000  0.0000  0.0000  6 Br 2.71-2.95
Th  0.5000  0.5000  0.0000  6 Br 2.88-2.98
Br  0.2306  0.0000  0.7511  1 Li 2.95, 2 Th 2.98
Br  0.2342  0.5000  0.2032  2 Li 2.71, 1 Th 2.88
Br  0.7658  0.5000  0.7968  2 Li 2.71, 1 Th 2.88
Br  0.7694  0.0000  0.2489  1 Li 2.95, 2 Th 2.98